Entry from Alexandria via LeMat-Bulk: SiRuPt2 at its PBEsol-relaxed geometry (SCAN).

a = 2.8024 Å, b = 4.3594 Å, c = 5.2735 Å
α = 114.41°, β = 105.41°, γ = 90.00°
Fractional positions:
Pt1 0.9601 0.9601 0.9202
Pt2 0.7524 0.2524 0.5049
Ru1 0.5413 0.5413 0.0825
Si1 0.2462 0.7462 0.4924

Raw formation energy = -0.352 eV per atom
Space-group type = Imm2
ρ = 15.37 g/cm³
Total DFT energy (no corrections) = -186.64 eV for the cell shown